Entry i
First-principles (GGA-PBE) data for a geometry-optimized TbPrZnRh structure, as listed in the Alexandria database.

extended XYZ file:
```
4
Lattice="-0.160 -5.046 0.273 4.258 -2.629 0.720 0.822 -2.320 4.416" Properties=species:S:1:pos:R:3 pbc="T T T"
Pr 3.690 -7.497 4.057
Rh 0.000 0.000 0.000
Zn 2.460 -4.998 2.705
Tb 1.230 -2.499 1.352
```

V ... 91.4 Å³ per cell
DOS(E_F) ... 2.06 states/eV per cell


Entry ii
First-principles (GGA-PBE) data for a geometry-optimized TbPrZnRh structure, as listed in the Alexandria database.

extended XYZ file:
```
4
Lattice="-2.503 3.031 0.627 -3.433 -2.775 -0.290 1.516 -2.400 5.022" Properties=species:S:1:pos:R:3 pbc="T T T"
Tb -2.776 -0.515 4.046
Pr 0.076 -0.253 1.526
Zn -2.932 0.006 0.903
Rh 0.225 -0.752 4.533
```

V ... 95.4 Å³ per cell
DOS(E_F) ... 3.31 states/eV per cell


Relative energies in eV/atom: entry i 0.026; entry ii 0.000


Entry i
First-principles (GGA-PBE) data for a geometry-optimized PrThRh structure, as listed in the Alexandria database.

extended XYZ file:
```
3
Lattice="4.004 0.000 0.000 -2.002 3.468 0.000 0.000 0.000 6.500" Properties=species:S:1:pos:R:3 pbc="T T T"
Pr 0.000 0.000 0.437
Rh 2.002 1.156 2.268
Th 0.000 2.312 3.795
```

V ... 90.3 Å³ per cell
DOS(E_F) ... 3.25 states/eV per cell


Entry ii
First-principles (GGA-PBE) data for a geometry-optimized PrThRh structure, as listed in the Alexandria database.

extended XYZ file:
```
3
Lattice="4.973 0.000 0.000 2.487 4.307 0.000 2.487 1.436 4.061" Properties=species:S:1:pos:R:3 pbc="T T T"
Pr 0.000 0.000 0.000
Rh 2.487 1.436 1.015
Th 4.973 2.871 2.030
```

V ... 87.0 Å³ per cell
DOS(E_F) ... 4.99 states/eV per cell


Relative energies in eV/atom: entry i 0.000; entry ii 0.129